A plane-wave DFT calculation with PBE-GGA was carried out for a relaxed ZnHg2Rh crystal.

a = 3.2417 Å, b = 4.3023 Å, c = 5.5310 Å
α = 90.00°, β = 106.63°, γ = 90.00°
Space group Pm (No. 6)
One atom of each set of equivalent atoms:
1 Zn 0.0000 0.0000 0.0000 x1
2 Hg 0.2777 0.0000 0.5469 x1
3 Hg 0.6006 0.5000 0.2015 x1
4 Rh 0.8729 0.5000 0.7406 x1

DFT total energy (eV/atom): -2.2447
ΔH_f (0 K) (eV per atom): 0.0626
DOS(E_F) (states/eV/cell): 1.2